Crystalline InPd2Pb2 at its relaxed geometry. Source: Alexandria via LeMat-Bulk, functional GGA-PBE.

```
InPd2Pb2
1.0
-2.424 -2.582 1.828
-0.295 -2.109 -3.369
4.848 -6.649 1.381
Pb Pd In
2 2 1
Direct
0.377 0.377 0.246
0.623 0.623 0.754
0.750 0.250 0.500
0.250 0.750 0.500
0.000 0.000 0.000
```

Values from the calculation:
E_tot ... -4.163 eV per atom
SG ... I4/mmm (139)
E above lowest polymorph ... 0.79 eV/f.u.
M_tot ... 0.00 μB/f.u.
N(E_F) ... 2.726 states/eV/cell